Record 1
An optimized crystal structure of TaTi2Al3. Source: the Alexandria database, functional PBE.

Properties
The calculation puts the final energy at -6.763 eV per atom. The value obtained for the formation enthalpy at 0 K is -165 kJ/mol of formula units. Its density of states at the Fermi level is 6.40 states/eV/cell.

```
data_TaTi2Al3
_chemical_formula_sum 'Ta2 Ti4 Al6'
_cell_length_a 5.455
_cell_length_b 7.846
_cell_length_c 4.578
_cell_angle_alpha 90.00
_cell_angle_beta 90.00
_cell_angle_gamma 90.00
_space_group_name_H-M_alt 'P n n m'
_space_group_IT_number 58
_space_group_name_Hall '-P 2 2n'
loop_
_atom_site_label
_atom_site_type_symbol
_atom_site_fract_x
_atom_site_fract_y
_atom_site_fract_z
Ta1 Ta 0.000 0.000 0.000
Ti1 Ti 0.245 0.337 0.000
Al1 Al 0.000 0.500 0.500
Al2 Al 0.242 0.172 0.500
```



Record 2
An optimized crystal structure of Dy2CdCo. Source: the Alexandria database, functional PBE.

Properties
The calculation puts the final energy at -4.449 eV per atom. The value obtained for the formation enthalpy at 0 K is -55 kJ/mol of formula units. Its density of states at the Fermi level is 11.77 states/eV/cell.

```
data_Dy2CdCo
_chemical_formula_sum 'Dy8 Cd4 Co4'
_cell_length_a 7.116
_cell_length_b 7.116
_cell_length_c 7.116
_cell_angle_alpha 90.00
_cell_angle_beta 90.00
_cell_angle_gamma 90.00
_space_group_name_H-M_alt 'F m -3 m'
_space_group_IT_number 225
_space_group_name_Hall '-F 4 2 3'
loop_
_atom_site_label
_atom_site_type_symbol
_atom_site_fract_x
_atom_site_fract_y
_atom_site_fract_z
Dy1 Dy 0.250 0.250 0.250
Cd1 Cd 0.000 0.000 0.000
Co1 Co 0.000 0.000 0.500
```



Record 3
An optimized crystal structure of MgAu2Br. Source: the Alexandria database, functional PBE.

Properties
The calculation puts the final energy at -2.786 eV per atom. Its density of states at the Fermi level is 5.28 states/eV/cell.

```
data_MgAu2Br
_chemical_formula_sum 'Mg3 Au6 Br3'
_cell_length_a 3.4572
_cell_length_b 3.4572
_cell_length_c 27.3644
_cell_angle_alpha 90.00
_cell_angle_beta 90.00
_cell_angle_gamma 120.00
_space_group_name_H-M_alt 'R 3 m'
_space_group_IT_number 160
_space_group_name_Hall 'R 3 -2"'
loop_
_atom_site_label
_atom_site_type_symbol
_atom_site_fract_x
_atom_site_fract_y
_atom_site_fract_z
Mg1 Mg 0.0000 0.0000 0.0000
Au1 Au 0.0000 0.0000 0.2622
Au2 Au 0.0000 0.0000 0.5221
Br1 Br 0.0000 0.0000 0.7284
```



Record 4
An optimized crystal structure of Ta2AsRu. Source: the Alexandria database, functional PBE.

Properties
The calculation puts the final energy at -9.619 eV per atom. The value obtained for the formation enthalpy at 0 K is -82 kJ/mol of formula units. Its density of states at the Fermi level is 1.81 states/eV/cell.

```
data_Ta2AsRu
_chemical_formula_sum 'Ta2 As1 Ru1'
_cell_length_a 3.284
_cell_length_b 3.284
_cell_length_c 6.236
_cell_angle_alpha 90.00
_cell_angle_beta 90.00
_cell_angle_gamma 90.00
_space_group_name_H-M_alt 'P 4 m m'
_space_group_IT_number 99
_space_group_name_Hall 'P 4 -2'
loop_
_atom_site_label
_atom_site_type_symbol
_atom_site_fract_x
_atom_site_fract_y
_atom_site_fract_z
Ta1 Ta 0.000 0.000 0.000
Ta2 Ta 0.500 0.500 0.299
As1 As 0.000 0.000 0.498
Ru1 Ru 0.500 0.500 0.794
```



Record 5
An optimized crystal structure of CaPOs2. Source: the Alexandria database, functional PBE.

Properties
The calculation puts the final energy at -6.870 eV per atom. The value obtained for the formation enthalpy at 0 K is 231 kJ/mol of formula units. Its density of states at the Fermi level is 10.78 states/eV/cell.

```
data_CaPOs2
_chemical_formula_sum 'Ca2 P2 Os4'
_cell_length_a 4.122
_cell_length_b 4.122
_cell_length_c 7.531
_cell_angle_alpha 90.00
_cell_angle_beta 90.00
_cell_angle_gamma 90.00
_space_group_name_H-M_alt 'I -4 m 2'
_space_group_IT_number 119
_space_group_name_Hall 'I -4 -2'
loop_
_atom_site_label
_atom_site_type_symbol
_atom_site_fract_x
_atom_site_fract_y
_atom_site_fract_z
Ca1 Ca 0.000 0.000 0.000
P1 P 0.000 0.500 0.250
Os1 Os 0.000 0.000 0.500
Os2 Os 0.000 0.500 0.750
```



Record 6
An optimized crystal structure of Zn15Au. Source: the Alexandria database, functional PBE.

Properties
The calculation puts the final energy at -1.444 eV per atom. The value obtained for the formation enthalpy at 0 K is -68 kJ/mol of formula units. Its density of states at the Fermi level is 1.52 states/eV/cell.

```
data_Zn15Au
_chemical_formula_sum 'Zn15 Au1'
_cell_length_a 5.4166
_cell_length_b 5.4166
_cell_length_c 9.5272
_cell_angle_alpha 90.00
_cell_angle_beta 90.00
_cell_angle_gamma 120.00
_space_group_name_H-M_alt 'P -6 m 2'
_space_group_IT_number 187
_space_group_name_Hall 'P -6 2'
loop_
_atom_site_label
_atom_site_type_symbol
_atom_site_fract_x
_atom_site_fract_y
_atom_site_fract_z
Zn1 Zn 0.0000 0.0000 0.0000
Zn2 Zn 0.9998 0.4999 0.0000
Zn3 Zn 0.0029 0.5014 0.5000
Zn4 Zn 0.3333 0.6667 0.2464
Zn5 Zn 0.3357 0.1678 0.2487
Au1 Au 0.0000 0.0000 0.5000
```



Record 7
An optimized crystal structure of LiAl5. Source: the Alexandria database, functional PBE.

Properties
The calculation puts the final energy at -3.457 eV per atom. The value obtained for the formation enthalpy at 0 K is -11 kJ/mol of formula units. Its density of states at the Fermi level is 2.32 states/eV/cell.

```
data_LiAl5
_chemical_formula_sum 'Li1 Al5'
_cell_length_a 4.8629
_cell_length_b 4.8629
_cell_length_c 4.8763
_cell_angle_alpha 90.00
_cell_angle_beta 90.00
_cell_angle_gamma 120.00
_space_group_name_H-M_alt 'P -6 2 m'
_space_group_IT_number 189
_space_group_name_Hall 'P -6 -2'
loop_
_atom_site_label
_atom_site_type_symbol
_atom_site_fract_x
_atom_site_fract_y
_atom_site_fract_z
Li1 Li 0.0000 0.0000 0.0000
Al1 Al 0.0000 0.6614 0.5000
Al2 Al 0.3333 0.6667 0.0000
```



Record 8
An optimized crystal structure of ScCrCd2I. Source: the Alexandria database, functional PBE.

Properties
The calculation puts the final energy at -2.791 eV per atom. Its density of states at the Fermi level is 4.83 states/eV/cell.

```
data_ScCrCd2I
_chemical_formula_sum 'Sc1 Cr1 Cd2 I1'
_cell_length_a 5.806
_cell_length_b 5.806
_cell_length_c 5.285
_cell_angle_alpha 90.00
_cell_angle_beta 90.00
_cell_angle_gamma 90.00
_space_group_name_H-M_alt 'P 4/m m m'
_space_group_IT_number 123
_space_group_name_Hall '-P 4 2'
loop_
_atom_site_label
_atom_site_type_symbol
_atom_site_fract_x
_atom_site_fract_y
_atom_site_fract_z
Sc1 Sc 0.000 0.000 0.000
Cr1 Cr 0.500 0.500 0.000
Cd1 Cd 0.000 0.500 0.500
I1 I 0.000 0.000 0.500
```



Record 9
An optimized crystal structure of FeCo5. Source: the Alexandria database, functional PBE.

Properties
The calculation puts the final energy at -7.312 eV per atom. The value obtained for the formation enthalpy at 0 K is 12 kJ/mol of formula units. Its density of states at the Fermi level is 5.89 states/eV/cell.

```
data_FeCo5
_chemical_formula_sum 'Fe1 Co5'
_cell_length_a 2.487
_cell_length_b 2.487
_cell_length_c 10.709
_cell_angle_alpha 90.00
_cell_angle_beta 90.00
_cell_angle_gamma 90.00
_space_group_name_H-M_alt 'P 4/m m m'
_space_group_IT_number 123
_space_group_name_Hall '-P 4 2'
loop_
_atom_site_label
_atom_site_type_symbol
_atom_site_fract_x
_atom_site_fract_y
_atom_site_fract_z
Fe1 Fe 0.000 0.000 0.000
Co1 Co 0.000 0.000 0.334
Co2 Co 0.500 0.500 0.173
Co3 Co 0.500 0.500 0.500
```



Record 10
An optimized crystal structure of CaNi4Sb. Source: the Alexandria database, functional PBE.

Properties
The calculation puts the final energy at -5.042 eV per atom. Its density of states at the Fermi level is 24.00 states/eV/cell.

```
data_CaNi4Sb
_chemical_formula_sum 'Ca4 Ni16 Sb4'
_cell_length_a 7.067
_cell_length_b 7.067
_cell_length_c 7.067
_cell_angle_alpha 90.00
_cell_angle_beta 90.00
_cell_angle_gamma 90.00
_space_group_name_H-M_alt 'F -4 3 m'
_space_group_IT_number 216
_space_group_name_Hall 'F -4 2 3'
loop_
_atom_site_label
_atom_site_type_symbol
_atom_site_fract_x
_atom_site_fract_y
_atom_site_fract_z
Ca1 Ca 0.000 0.000 0.000
Ni1 Ni 0.125 0.125 0.625
Sb1 Sb 0.250 0.250 0.250
```



Record 11
An optimized crystal structure of TbPm2I. Source: the Alexandria database, functional PBE.

Properties
The calculation puts the final energy at -4.322 eV per atom. Its density of states at the Fermi level is 14.32 states/eV/cell.

```
data_TbPm2I
_chemical_formula_sum 'Tb3 Pm6 I3'
_cell_length_a 3.7838
_cell_length_b 3.7838
_cell_length_c 32.1788
_cell_angle_alpha 90.00
_cell_angle_beta 90.00
_cell_angle_gamma 120.00
_space_group_name_H-M_alt 'R 3 m'
_space_group_IT_number 160
_space_group_name_Hall 'R 3 -2"'
loop_
_atom_site_label
_atom_site_type_symbol
_atom_site_fract_x
_atom_site_fract_y
_atom_site_fract_z
Tb1 Tb 0.0000 0.0000 0.0000
Pm1 Pm 0.0000 0.0000 0.4229
Pm2 Pm 0.0000 0.0000 0.5774
I1 I 0.0000 0.0000 0.1671
```



Calculated V, 16.33 22.52 23.60 16.81 15.99 15.13 16.64 35.64 11.04 14.70 33.25 Å³ per atom (same order as the records).